Mg2ZnSi after structural relaxation. Source: Alexandria, functional PBE-GGA.

Properties
Crystal system: tetragonal
DFT total energy: -2.476 eV per atom
Spin magnetization: 0.00 μB per atom

abc: 4.265 4.265 3.889
angles: 90.00 90.00 90.00
Space group P4/mmm (No. 123)
Asymmetric unit:
1 Mg 0.000 0.500 0.000 [2 per cell]
2 Zn 0.000 0.000 0.500 [1 per cell]
3 Si 0.500 0.500 0.500 [1 per cell]